Entry from the Alexandria database: a geometry-optimized ZrTaBe17 structure (GGA-PBE).

Values from the calculation:
Its energy relative to the elements is -218 meV/atom. The symmetry is R3m, No. 160.

Unit cell a=5.610 b=5.610 c=5.610 alpha=82.93 beta=82.93 gamma=82.93
Fractional positions:
1 Be 0.343 0.841 0.343
2 Be 0.708 0.002 0.289
3 Be 0.499 0.001 0.001
4 Be 0.002 0.289 0.708
5 Be 0.653 0.653 0.162
6 Be 0.162 0.653 0.653
7 Be 0.289 0.002 0.708
8 Be 0.289 0.708 0.002
9 Be 0.905 0.905 0.905
10 Be 0.708 0.289 0.002
11 Be 0.343 0.343 0.841
12 Be 0.841 0.343 0.343
13 Be 0.099 0.099 0.099
14 Be 0.653 0.162 0.653
15 Be 0.002 0.708 0.289
16 Be 0.001 0.001 0.499
17 Be 0.001 0.499 0.001
18 Zr 0.661 0.661 0.661
19 Ta 0.338 0.338 0.338


Entry from the Alexandria database: a geometry-optimized ZrTaBe10 structure (GGA-PBE).

Values from the calculation:
Its energy relative to the elements is -225 meV/atom. The symmetry is Pmmm, No. 47.

Unit cell a=3.396 b=4.498 c=7.786 alpha=90.00 beta=90.00 gamma=90.00
Fractional positions:
1 Be 0.000 0.000 0.674
2 Be 0.500 0.245 0.241
3 Be 0.500 0.755 0.241
4 Be 0.500 0.755 0.759
5 Be 0.000 0.000 0.326
6 Be 0.500 0.500 0.000
7 Be 0.500 0.000 0.500
8 Be 0.000 0.500 0.842
9 Be 0.500 0.245 0.759
10 Be 0.000 0.500 0.158
11 Ta 0.000 0.000 0.000
12 Zr 0.000 0.500 0.500


Entry from the Alexandria database: a geometry-optimized ZrTa2Be structure (GGA-PBE).

Values from the calculation:
Its energy relative to the elements is 163 meV/atom. The symmetry is P4/mmm, No. 123.

Unit cell a=4.432 b=3.967 c=3.967 alpha=90.00 beta=90.00 gamma=90.00
Fractional positions:
1 Zr 0.500 0.500 0.000
2 Ta 0.000 0.000 0.000
3 Ta 0.000 0.500 0.500
4 Be 0.500 0.000 0.500


DOS at the Fermi energy / states/eV/cell: 2.4; 2.7; 4.6